Here is a PBEsol-optimized structure of NbW from Alexandria. Energies are from SCAN.

V in Å³/atom: 16.493
Space-group type: Cmmm
E_form in eV/atom: -0.034

Cell: 2.7705 2.7705 4.5559 Å, 90.00 90.00 109.39°
Last column: nearest neighbours and their distance in Å.
Positions (direct):
Nb (0.0000, 0.0000, 0.0000)  4 Nb 2.77, 4 W 2.78
W (0.5000, 0.5000, 0.5000)  4 W 2.77, 4 Nb 2.78

=====

Here is a PBEsol-optimized structure of Zr2NbZnW from Alexandria. Energies are from SCAN.

V in Å³/atom: 21.098
Space-group type: P4/mmm
E_form in eV/atom: 1.236

Cell: 4.6361 4.7701 4.7701 Å, 90.00 90.00 90.00°
Last column: nearest neighbours and their distance in Å.
Positions (direct):
Zn (0.0000, 0.0000, 0.0000)  2 Nb 2.32, 4 Zr 2.39
Nb (0.5000, 0.0000, 0.0000)  2 Zn 2.32
Zr (0.0000, 0.0000, 0.5000)  2 Zn 2.39
Zr (0.0000, 0.5000, 0.0000)  2 Zn 2.39
W (0.5000, 0.5000, 0.5000)  8 Zr 3.33, 4 Nb 3.37

=====

Here is a PBEsol-optimized structure of YNbZn3 from Alexandria. Energies are from SCAN.

V in Å³/atom: 22.462
Space-group type: Pm-3m
E_form in eV/atom: 0.444

Cell: 4.8247 4.8247 4.8247 Å, 90.00 90.00 90.00°
Last column: nearest neighbours and their distance in Å.
Positions (direct):
Y (0.5000, 0.5000, 0.5000)  12 Zn 3.41
Nb (0.0000, 0.0000, 0.0000)  6 Zn 2.41
Zn (0.0000, 0.5000, 0.0000)  2 Nb 2.41
Zn (0.0000, 0.0000, 0.5000)  2 Nb 2.41
Zn (0.5000, 0.0000, 0.0000)  2 Nb 2.41

=====

Here is a PBEsol-optimized structure of NbZn2 from Alexandria. Energies are from SCAN.

V in Å³/atom: 14.512
Space-group type: P6_3/mmc
E_form in eV/atom: -0.268

Cell: 5.0102 5.0102 8.0104 Å, 90.00 90.00 120.00°
Last column: nearest neighbours and their distance in Å.
Positions (direct):
Nb (0.3333, 0.6667, 0.5693)  12 Zn 2.89-2.95, 4 Nb 2.90-3.10
Nb (0.6667, 0.3333, 0.0693)  12 Zn 2.89-2.95, 4 Nb 2.90-3.10
Nb (0.6667, 0.3333, 0.4307)  12 Zn 2.89-2.95, 4 Nb 2.90-3.10
Nb (0.3333, 0.6667, 0.9307)  12 Zn 2.89-2.95, 4 Nb 2.90-3.10
Zn (0.0000, 0.0000, 0.0000)  6 Zn 2.50
Zn (0.0000, 0.0000, 0.5000)  6 Zn 2.50
Zn (0.1725, 0.3451, 0.2500)  6 Zn 2.42-2.59
Zn (0.8275, 0.1725, 0.7500)  6 Zn 2.42-2.59
Zn (0.3451, 0.1725, 0.7500)  6 Zn 2.42-2.59
Zn (0.6549, 0.8275, 0.2500)  6 Zn 2.42-2.59
Zn (0.1725, 0.8275, 0.2500)  6 Zn 2.42-2.59
Zn (0.8275, 0.6549, 0.7500)  6 Zn 2.42-2.59

=====

Magnetic moment
In order: 0.00; 0.00; 0.00; 0.00
Unit: μB per cell
Total DFT energy (no corrections)
In order: -3.7810; -2.5217; -1.4596; -1.4936
Unit: Ry/atom